1.
# Li4Ti11O24 | Alexandria via LeMat-Bulk | PBEsol | relaxed
data_Li4Ti11O24
_cell_length_a 19.465
_cell_length_b 5.911
_cell_length_c 8.354
_cell_angle_alpha 90.00
_cell_angle_beta 115.23
_cell_angle_gamma 90.00
_space_group_name_H-M_alt 'C 1 m 1'
_space_group_IT_number 8
_space_group_name_Hall 'C -2y'
loop_
_atom_site_label
_atom_site_fract_x
_atom_site_fract_y
_atom_site_fract_z
Li1 0.000 0.000 0.000
Li2 0.004 0.500 0.741
Li3 0.086 0.500 0.207
Li4 0.173 0.000 0.418
Ti1 0.007 0.259 0.371
Ti2 0.088 0.000 0.709
Ti3 0.167 0.257 0.044
Ti4 0.247 0.500 0.372
Ti5 0.255 0.000 0.891
Ti6 0.336 0.252 0.708
Ti7 0.417 0.500 0.523
Ti8 0.424 0.000 0.046
O1 0.003 0.221 0.612
O2 0.074 0.500 0.445
O3 0.080 0.000 0.464
O4 0.093 0.000 0.954
O5 0.097 0.500 0.966
O6 0.169 0.216 0.807
O7 0.175 0.266 0.280
O8 0.242 0.500 0.131
O9 0.243 0.000 0.099
O10 0.263 0.000 0.644
O11 0.263 0.500 0.622
O12 0.336 0.218 0.939
O13 0.337 0.281 0.477
O14 0.411 0.500 0.774
O15 0.413 0.000 0.794
O16 0.430 0.000 0.284
O17 0.430 0.500 0.319
O18 0.498 0.234 0.135
# total energy = -8.643 eV per atom

2.
# Li2Ti6O13 | Alexandria via LeMat-Bulk | PBEsol | relaxed
data_Li2Ti6O13
_cell_length_a 15.354
_cell_length_b 3.748
_cell_length_c 9.134
_cell_angle_alpha 90.00
_cell_angle_beta 99.39
_cell_angle_gamma 90.00
_space_group_name_H-M_alt 'C 1 2/m 1'
_space_group_IT_number 12
_space_group_name_Hall '-C 2y'
loop_
_atom_site_label
_atom_site_fract_x
_atom_site_fract_y
_atom_site_fract_z
Li1 0.050 0.000 0.256
Ti1 0.115 0.000 0.595
Ti2 0.167 0.000 0.936
Ti3 0.230 0.000 0.271
O1 0.000 0.000 0.500
O2 0.073 0.000 0.789
O3 0.129 0.000 0.114
O4 0.146 0.500 0.613
O5 0.159 0.000 0.407
O6 0.204 0.500 0.928
O7 0.239 0.000 0.744
# total energy = -8.741 eV per atom

3.
# LiTi2O4 | Alexandria via LeMat-Bulk | PBEsol | relaxed
data_LiTi2O4
_cell_length_a 3.803
_cell_length_b 4.020
_cell_length_c 8.993
_cell_angle_alpha 90.00
_cell_angle_beta 90.00
_cell_angle_gamma 90.00
_space_group_name_H-M_alt 'I m m 2'
_space_group_IT_number 44
_space_group_name_Hall 'I 2 -2'
loop_
_atom_site_label
_atom_site_fract_x
_atom_site_fract_y
_atom_site_fract_z
Li1 0.000 0.000 0.000
Ti1 0.000 0.000 0.566
Ti2 0.000 0.500 0.787
O1 0.000 0.000 0.329
O2 0.000 0.000 0.783
O3 0.000 0.500 0.022
O4 0.000 0.500 0.568
# total energy = -8.509 eV per atom

| no. | formation energy (no corrections) (eV per atom) |
| --- | --- |
| 1 | -2.864 |
| 2 | -2.927 |
| 3 | -2.850 |